First-principles (PBE-GGA) data for crystalline ZrTeW2 at its relaxed geometry, as listed in OQMD via LeMat-Bulk.

Magnetic moment = 0.005 μB per cell
DFT total energy = -8.87 eV/atom
Space group = F-43m (216)

POSCAR file:
```
ZrTeW2
1.0
-4.413 1.723 -0.008
-1.807 1.867 -3.962
-3.429 -2.280 -2.343
W Te Zr
2 1 1
direct
0.000 0.000 0.000
0.250 0.250 0.250
0.750 0.750 0.750
0.500 0.500 0.500
```

---

First-principles (PBE-GGA) data for crystalline Zr6Te2W at its relaxed geometry, as listed in OQMD via LeMat-Bulk.

Magnetic moment = 0.860 μB per cell
DFT total energy = -8.22 eV/atom
Space group = P-62m (189)

POSCAR file:
```
Zr6Te2W
1.0
-2.831 7.386 0.335
-2.258 -5.352 5.379
2.805 0.978 2.150
Zr Te W
6 2 1
direct
0.000 0.598 0.000
0.402 0.402 0.000
0.746 0.746 0.500
0.000 0.254 0.500
0.598 0.000 0.000
0.254 0.000 0.500
0.667 0.333 0.500
0.333 0.667 0.500
0.000 0.000 0.000
```

---

First-principles (PBE-GGA) data for crystalline YZnTe at its relaxed geometry, as listed in OQMD via LeMat-Bulk.

Magnetic moment = 0.063 μB per cell
Energy above the most stable polymorph in this dataset = 0 meV per atom
Space group = F-43m (216)

POSCAR file:
```
YZnTe
1.0
0.000 3.548 3.548
3.548 0.000 3.548
3.548 3.548 0.000
Te Zn Y
1 1 1
direct
0.500 0.500 0.500
0.000 0.000 0.000
0.250 0.250 0.250
```

---

- Which value of magnetic moment does entry 3 give?
  0.063 μB per cell

---

- Which of these has the lowest magnetic moment?
  ZrTeW2

---

- magnetic moment of number 1 (ZrTeW2)?
  0.005 μB per cell

---

- Look up the magnetic moment of the first one.
  0.005 μB per cell